Record 1
# YMg2ZrRu GGA-PBE relaxed
data_YMg2ZrRu
_space_group_name_H-M_alt 'P 1'
_space_group_IT_number 1
_cell_length_a 4.985
_cell_length_b 5.034
_cell_length_c 4.985
_cell_angle_alpha 90.00
_cell_angle_beta 90.00
_cell_angle_gamma 90.00
loop_
_space_group_symop_operation_xyz
'x,y,z'
loop_
_atom_site_label
_atom_site_type_symbol
_atom_site_fract_x
_atom_site_fract_y
_atom_site_fract_z
_atom_site_occupancy
Y1 Y 0.000 0.500 0.000 1
Ru1 Ru 0.000 0.000 0.000 1
Mg1 Mg 0.000 0.000 0.500 1
Mg2 Mg 0.500 0.000 0.000 1
Zr1 Zr 0.500 0.500 0.500 1
# DOS at the Fermi energy (states/eV/atom): 0.81
# ΔE_f (meV per atom): 411
# Space-group type: P4/mmm (123)

---

Record 2
# YMgZrRu GGA-PBE relaxed
data_YMgZrRu
_space_group_name_H-M_alt 'P 1'
_space_group_IT_number 1
_cell_length_a 4.903
_cell_length_b 4.903
_cell_length_c 4.903
_cell_angle_alpha 60.00
_cell_angle_beta 60.00
_cell_angle_gamma 60.00
loop_
_space_group_symop_operation_xyz
'x,y,z'
loop_
_atom_site_label
_atom_site_type_symbol
_atom_site_fract_x
_atom_site_fract_y
_atom_site_fract_z
_atom_site_occupancy
Y1 Y 0.500 0.500 0.500 1
Ru1 Ru 0.750 0.750 0.750 1
Mg1 Mg 0.250 0.250 0.250 1
Zr1 Zr 0.000 0.000 0.000 1
# DOS at the Fermi energy (states/eV/atom): 0.84
# ΔE_f (meV per atom): -159
# Space-group type: F-43m (216)

---

Record 3
# MgZn2Ru GGA-PBE relaxed
data_MgZn2Ru
_space_group_name_H-M_alt 'P 1'
_space_group_IT_number 1
_cell_length_a 9.052
_cell_length_b 9.052
_cell_length_c 9.052
_cell_angle_alpha 18.18
_cell_angle_beta 18.18
_cell_angle_gamma 18.18
loop_
_space_group_symop_operation_xyz
'x,y,z'
loop_
_atom_site_label
_atom_site_type_symbol
_atom_site_fract_x
_atom_site_fract_y
_atom_site_fract_z
_atom_site_occupancy
Mg1 Mg 0.250 0.250 0.250 1
Ru1 Ru 0.750 0.750 0.750 1
Zn1 Zn 0.006 0.006 0.006 1
Zn2 Zn 0.494 0.494 0.494 1
# DOS at the Fermi energy (states/eV/atom): 0.61
# ΔE_f (meV per atom): 86
# Space-group type: R-3m (166)

---

Record 4
# MgZn2Ru GGA-PBE relaxed
data_MgZn2Ru
_space_group_name_H-M_alt 'P 1'
_space_group_IT_number 1
_cell_length_a 5.020
_cell_length_b 5.020
_cell_length_c 4.129
_cell_angle_alpha 65.59
_cell_angle_beta 65.59
_cell_angle_gamma 39.56
loop_
_space_group_symop_operation_xyz
'x,y,z'
loop_
_atom_site_label
_atom_site_type_symbol
_atom_site_fract_x
_atom_site_fract_y
_atom_site_fract_z
_atom_site_occupancy
Ru1 Ru 0.258 0.258 0.243 1
Zn1 Zn 0.000 0.000 0.000 1
Zn2 Zn 0.741 0.741 0.759 1
Mg1 Mg 0.501 0.501 0.499 1
# DOS at the Fermi energy (states/eV/atom): 0.62
# ΔE_f (meV per atom): -95
# Space-group type: Cm (8)

---

Record 5
# Mg6Zn12Ru GGA-PBE relaxed
data_Mg6Zn12Ru
_space_group_name_H-M_alt 'P 1'
_space_group_IT_number 1
_cell_length_a 6.880
_cell_length_b 6.880
_cell_length_c 6.880
_cell_angle_alpha 93.36
_cell_angle_beta 93.36
_cell_angle_gamma 93.36
loop_
_space_group_symop_operation_xyz
'x,y,z'
loop_
_atom_site_label
_atom_site_type_symbol
_atom_site_fract_x
_atom_site_fract_y
_atom_site_fract_z
_atom_site_occupancy
Mg1 Mg 0.116 0.283 0.742 1
Mg2 Mg 0.717 0.258 0.884 1
Mg3 Mg 0.258 0.884 0.717 1
Mg4 Mg 0.884 0.717 0.258 1
Mg5 Mg 0.283 0.742 0.116 1
Mg6 Mg 0.742 0.116 0.283 1
Zn1 Zn 0.459 0.217 0.535 1
Zn2 Zn 0.217 0.535 0.459 1
Zn3 Zn 0.535 0.459 0.217 1
Zn4 Zn 0.541 0.783 0.465 1
Zn5 Zn 0.783 0.465 0.541 1
Zn6 Zn 0.465 0.541 0.783 1
Zn7 Zn 0.858 0.942 0.637 1
Zn8 Zn 0.363 0.142 0.058 1
Zn9 Zn 0.058 0.363 0.142 1
Zn10 Zn 0.142 0.058 0.363 1
Zn11 Zn 0.637 0.858 0.942 1
Zn12 Zn 0.942 0.637 0.858 1
Ru1 Ru 0.000 0.000 0.000 1
# DOS at the Fermi energy (states/eV/atom): 0.29
# ΔE_f (meV per atom): -96
# Space-group type: R-3 (148)

---

Record 6
# Mg2ZnRu GGA-PBE relaxed
data_Mg2ZnRu
_space_group_name_H-M_alt 'P 1'
_space_group_IT_number 1
_cell_length_a 3.290
_cell_length_b 3.381
_cell_length_c 6.787
_cell_angle_alpha 60.12
_cell_angle_beta 90.00
_cell_angle_gamma 90.00
loop_
_space_group_symop_operation_xyz
'x,y,z'
loop_
_atom_site_label
_atom_site_type_symbol
_atom_site_fract_x
_atom_site_fract_y
_atom_site_fract_z
_atom_site_occupancy
Mg1 Mg 0.000 0.981 0.019 1
Mg2 Mg 0.000 0.519 0.481 1
Ru1 Ru 0.500 0.250 0.250 1
Zn1 Zn 0.500 0.750 0.750 1
# DOS at the Fermi energy (states/eV/atom): 0.68
# ΔE_f (meV per atom): -22
# Space-group type: Pmmm (47)

---

Record 7
# Mg2ZnRu GGA-PBE relaxed
data_Mg2ZnRu
_space_group_name_H-M_alt 'P 1'
_space_group_IT_number 1
_cell_length_a 2.935
_cell_length_b 2.935
_cell_length_c 9.178
_cell_angle_alpha 80.80
_cell_angle_beta 80.80
_cell_angle_gamma 60.00
loop_
_space_group_symop_operation_xyz
'x,y,z'
loop_
_atom_site_label
_atom_site_type_symbol
_atom_site_fract_x
_atom_site_fract_y
_atom_site_fract_z
_atom_site_occupancy
Mg1 Mg 0.078 0.078 0.765 1
Mg2 Mg 0.255 0.255 0.236 1
Zn1 Zn 0.500 0.500 0.499 1
Ru1 Ru 0.667 0.667 0.000 1
# DOS at the Fermi energy (states/eV/atom): 0.69
# ΔE_f (meV per atom): 77
# Space-group type: R3m (160)

---

Record 8
# MgZn2Ru GGA-PBE relaxed
data_MgZn2Ru
_space_group_name_H-M_alt 'P 1'
_space_group_IT_number 1
_cell_length_a 2.869
_cell_length_b 3.882
_cell_length_c 5.498
_cell_angle_alpha 90.00
_cell_angle_beta 90.00
_cell_angle_gamma 90.00
loop_
_space_group_symop_operation_xyz
'x,y,z'
loop_
_atom_site_label
_atom_site_type_symbol
_atom_site_fract_x
_atom_site_fract_y
_atom_site_fract_z
_atom_site_occupancy
Mg1 Mg 0.000 0.000 0.512 1
Ru1 Ru 0.500 0.500 0.758 1
Zn1 Zn 0.000 0.000 0.986 1
Zn2 Zn 0.500 0.500 0.244 1
# DOS at the Fermi energy (states/eV/atom): 0.55
# ΔE_f (meV per atom): -1
# Space-group type: Pmm2 (25)

---

Record 9
# Mg2ZnRu GGA-PBE relaxed
data_Mg2ZnRu
_space_group_name_H-M_alt 'P 1'
_space_group_IT_number 1
_cell_length_a 2.857
_cell_length_b 2.857
_cell_length_c 9.051
_cell_angle_alpha 90.00
_cell_angle_beta 90.00
_cell_angle_gamma 111.54
loop_
_space_group_symop_operation_xyz
'x,y,z'
loop_
_atom_site_label
_atom_site_type_symbol
_atom_site_fract_x
_atom_site_fract_y
_atom_site_fract_z
_atom_site_occupancy
Mg1 Mg 0.000 0.000 0.985 1
Mg2 Mg 0.500 0.500 0.278 1
Ru1 Ru 0.000 0.000 0.509 1
Zn1 Zn 0.500 0.500 0.728 1
# DOS at the Fermi energy (states/eV/atom): 0.72
# ΔE_f (meV per atom): 133
# Space-group type: Cmm2 (35)

---

Record 10
# MgZn2Ru GGA-PBE relaxed
data_MgZn2Ru
_space_group_name_H-M_alt 'P 1'
_space_group_IT_number 1
_cell_length_a 6.419
_cell_length_b 6.419
_cell_length_c 6.419
_cell_angle_alpha 48.94
_cell_angle_beta 156.14
_cell_angle_gamma 137.93
loop_
_space_group_symop_operation_xyz
'x,y,z'
loop_
_atom_site_label
_atom_site_type_symbol
_atom_site_fract_x
_atom_site_fract_y
_atom_site_fract_z
_atom_site_occupancy
Mg1 Mg 0.000 0.000 0.000 1
Zn1 Zn 0.000 0.285 0.285 1
Zn2 Zn 0.000 0.715 0.715 1
Ru1 Ru 0.000 0.500 0.500 1
# DOS at the Fermi energy (states/eV/atom): 0.55
# ΔE_f (meV per atom): 323
# Space-group type: Immm (71)

---

Record 11
# Mg2Zn3Ru GGA-PBE relaxed
data_Mg2Zn3Ru
_space_group_name_H-M_alt 'P 1'
_space_group_IT_number 1
_cell_length_a 5.116
_cell_length_b 5.116
_cell_length_c 5.224
_cell_angle_alpha 89.80
_cell_angle_beta 119.44
_cell_angle_gamma 120.11
loop_
_space_group_symop_operation_xyz
'x,y,z'
loop_
_atom_site_label
_atom_site_type_symbol
_atom_site_fract_x
_atom_site_fract_y
_atom_site_fract_z
_atom_site_occupancy
Mg1 Mg 0.730 0.365 0.095 1
Mg2 Mg 0.270 0.635 0.905 1
Zn1 Zn 0.500 0.500 0.500 1
Zn2 Zn 0.000 0.000 0.500 1
Zn3 Zn 0.500 0.000 0.500 1
Ru1 Ru 0.000 0.000 0.000 1
# DOS at the Fermi energy (states/eV/atom): 0.35
# ΔE_f (meV per atom): -218
# Space-group type: C2/m (12)

---

Record 12
# Mg2ZnRu GGA-PBE relaxed
data_Mg2ZnRu
_space_group_name_H-M_alt 'P 1'
_space_group_IT_number 1
_cell_length_a 9.335
_cell_length_b 9.335
_cell_length_c 9.335
_cell_angle_alpha 17.99
_cell_angle_beta 17.99
_cell_angle_gamma 17.99
loop_
_space_group_symop_operation_xyz
'x,y,z'
loop_
_atom_site_label
_atom_site_type_symbol
_atom_site_fract_x
_atom_site_fract_y
_atom_site_fract_z
_atom_site_occupancy
Mg1 Mg 0.994 0.994 0.994 1
Mg2 Mg 0.506 0.506 0.506 1
Ru1 Ru 0.250 0.250 0.250 1
Zn1 Zn 0.750 0.750 0.750 1
# DOS at the Fermi energy (states/eV/atom): 0.63
# ΔE_f (meV per atom): 106
# Space-group type: R-3m (166)

---

no.,DFT total energy (eV/atom)
1,-5.085
2,-6.630
3,-3.268
4,-3.450
5,-1.892
6,-3.457
7,-3.357
8,-3.356
9,-3.302
10,-3.032
11,-2.933
12,-3.328